Entry 1:
Compound: CeHoPtAu
Source: the Alexandria database
Functional: PBE-GGA
Structure: relaxed

Summary:
The calculation puts the relative energy among the computed polymorphs at 66.7 meV per atom. As for the energy relative to the elements: -899 meV per atom. As for the density of states at the Fermi level: 6.94 states/eV/f.u. As for the space-group type: F-43m, No. 216.

Cell lengths 7.1739, 7.1739, 7.1739 Å; angles 90.00, 90.00, 90.00 degrees
Positions (direct):
Ce 0.0000 0.0000 0.0000
Ce 0.0000 0.5000 0.5000
Ce 0.5000 0.0000 0.5000
Ce 0.5000 0.5000 0.0000
Ho 0.0000 0.0000 0.5000
Ho 0.0000 0.5000 0.0000
Ho 0.5000 0.0000 0.0000
Ho 0.5000 0.5000 0.5000
Pt 0.2500 0.2500 0.7500
Pt 0.2500 0.7500 0.2500
Pt 0.7500 0.2500 0.2500
Pt 0.7500 0.7500 0.7500
Au 0.2500 0.2500 0.2500
Au 0.2500 0.7500 0.7500
Au 0.7500 0.2500 0.7500
Au 0.7500 0.7500 0.2500

=====

Entry 2:
Compound: Hf2MgAu
Source: the Alexandria database
Functional: PBE-GGA
Structure: relaxed

Summary:
As for the energy relative to the elements: 165 meV per atom. As for the density of states at the Fermi level: 5.32 states/eV/f.u. As for the space-group type: I-42d, No. 122.

Cell lengths 8.0009, 8.0009, 5.6771 Å; angles 90.00, 90.00, 90.00 degrees
Positions (direct):
Hf 0.2057 0.2500 0.1250
Hf 0.2500 0.7057 0.3750
Hf 0.2500 0.7943 0.8750
Hf 0.2943 0.2500 0.6250
Hf 0.7057 0.7500 0.6250
Hf 0.7500 0.2057 0.8750
Hf 0.7500 0.2943 0.3750
Hf 0.7943 0.7500 0.1250
Mg 0.0000 0.0000 0.5000
Mg 0.0000 0.5000 0.7500
Mg 0.5000 0.0000 0.2500
Mg 0.5000 0.5000 0.0000
Au 0.0000 0.0000 0.0000
Au 0.0000 0.5000 0.2500
Au 0.5000 0.0000 0.7500
Au 0.5000 0.5000 0.5000

=====

Entry 3:
Compound: TbPaVN3
Source: the Alexandria database
Functional: PBE-GGA
Structure: relaxed

Summary:
The calculation puts the raw formation energy at -1.24 eV per atom. As for the density of states at the Fermi level: 3.92 states/eV/f.u. As for the space-group type: P2_1/m, No. 11.

Cell lengths 7.1868, 3.3138, 7.4619 Å; angles 90.00, 95.66, 90.00 degrees
Positions (direct):
Tb 0.1475 0.2500 0.1729
Tb 0.8525 0.7500 0.8271
Pa 0.3600 0.7500 0.8211
Pa 0.6400 0.2500 0.1789
V 0.1081 0.2500 0.5794
V 0.8919 0.7500 0.4206
N 0.1157 0.2500 0.8506
N 0.1799 0.7500 0.4653
N 0.4043 0.7500 0.1217
N 0.5957 0.2500 0.8783
N 0.8201 0.2500 0.5347
N 0.8843 0.7500 0.1494

=====

M_tot, record by record: 3.198; 0.000; 0.001 Bohr magnetons per cell